# RbZn2NiF8 (GGA+U, relaxed)
data_RbZn2NiF8
_space_group_name_H-M_alt 'R -3'
_space_group_IT_number 148
_space_group_name_Hall '-R 3'
_cell_length_a 5.2181
_cell_length_b 5.2181
_cell_length_c 24.1025
_cell_angle_alpha 90.00
_cell_angle_beta 90.00
_cell_angle_gamma 120.00
loop_
_atom_site_label
_atom_site_type_symbol
_atom_site_fract_x
_atom_site_fract_y
_atom_site_fract_z
Rb1 Rb 0.0000 0.0000 0.0000
Zn1 Zn 0.0000 0.0000 0.2374
Ni1 Ni 0.0000 0.0000 0.5000
F1 F 0.0000 0.0000 0.3146
F2 F 0.0091 0.3050 0.5456
# total energy = -3.9018 eV/atom